Entry 1:
Entry from the Alexandria database: crystalline Sc2TaZn at its relaxed geometry (GGA-PBE).

a b c (Å): 9.6694 9.6694 9.6694
angles (deg): 18.63 18.63 18.63
With the nearest neighbours (Å) after each atom.
Sites, in units of the cell vectors:
Ta: 0.2500 0.2500 0.2500  6 Sc 3.04, 6 Ta 3.13
Sc: 0.4975 0.4975 0.4975  3 Zn 2.93, 3 Ta 3.04, 6 Sc 3.13
Sc: 0.0025 0.0025 0.0025  3 Zn 2.93, 3 Ta 3.04, 6 Sc 3.13
Zn: 0.7500 0.7500 0.7500  6 Sc 2.93, 6 Zn 3.13

Results
For the total energy, the calculation gives -6.401 eV per atom. For the volume, the calculation gives 80.57 Å³ per cell. Its formation energy is 18 kJ/mol of formula units.



Entry 2:
Entry from the Alexandria database: crystalline ScTa2Zn at its relaxed geometry (GGA-PBE).

a b c (Å): 4.6770 4.6770 4.6770
angles (deg): 60.00 60.00 60.00
With the nearest neighbours (Å) after each atom.
Sites, in units of the cell vectors:
Ta: 0.0000 0.0000 0.0000  4 Zn 2.86, 4 Ta 2.86
Ta: 0.2500 0.2500 0.2500  4 Ta 2.86, 4 Sc 2.86
Sc: 0.5000 0.5000 0.5000  4 Ta 2.86, 4 Zn 2.86
Zn: 0.7500 0.7500 0.7500  4 Ta 2.86, 4 Sc 2.86

Results
For the total energy, the calculation gives -7.697 eV per atom. For the volume, the calculation gives 72.34 Å³ per cell. Its formation energy is 51 kJ/mol of formula units.



Entry 3:
Entry from the Alexandria database: crystalline ScTa2Zn at its relaxed geometry (GGA-PBE).

a b c (Å): 5.1390 5.1390 5.1390
angles (deg): 132.43 132.43 69.55
With the nearest neighbours (Å) after each atom.
Sites, in units of the cell vectors:
Ta: 0.0000 0.0000 0.0000  4 Zn 2.93, 4 Sc 2.96, 4 Ta 2.96
Ta: 0.2500 0.7500 0.5000  4 Sc 2.93, 4 Zn 2.96, 4 Ta 2.96
Sc: 0.7500 0.2500 0.5000  8 Ta 2.93-2.96, 4 Zn 2.96
Zn: 0.5000 0.5000 0.0000  8 Ta 2.93-2.96, 4 Sc 2.96

Results
For the total energy, the calculation gives -7.711 eV per atom. For the volume, the calculation gives 72.52 Å³ per cell. Its formation energy is 45 kJ/mol of formula units.



Entry 4:
Entry from the Alexandria database: crystalline ScTa2Zn at its relaxed geometry (GGA-PBE).

a b c (Å): 4.3528 4.0784 4.0784
angles (deg): 90.00 90.00 90.00
With the nearest neighbours (Å) after each atom.
Sites, in units of the cell vectors:
Zn: 0.5000 0.5000 0.0000  4 Sc 2.88, 8 Ta 2.98
Ta: 0.0000 0.0000 0.0000  4 Ta 2.88, 4 Sc 2.98, 4 Zn 2.98
Ta: 0.0000 0.5000 0.5000  4 Ta 2.88, 4 Sc 2.98, 4 Zn 2.98
Sc: 0.5000 0.0000 0.5000  4 Zn 2.88, 8 Ta 2.98

Results
For the total energy, the calculation gives -7.749 eV per atom. For the volume, the calculation gives 72.40 Å³ per cell. Its formation energy is 30 kJ/mol of formula units.



Entry 5:
Entry from the Alexandria database: crystalline Sc2TaZn at its relaxed geometry (GGA-PBE).

a b c (Å): 3.1379 4.1401 6.0621
angles (deg): 90.00 90.00 90.00
With the nearest neighbours (Å) after each atom.
Sites, in units of the cell vectors:
Sc: 0.0000 0.0000 0.9872  2 Ta 2.96-3.10, 4 Zn 2.99, 6 Sc 3.11-3.14
Sc: 0.5000 0.5000 0.2708  2 Zn 2.86-3.20, 4 Ta 2.94, 6 Sc 3.11-3.14
Zn: 0.5000 0.5000 0.7432  6 Sc 2.86-3.20, 4 Ta 2.99, 2 Zn 3.14
Ta: 0.0000 0.0000 0.4989  6 Sc 2.94-3.10, 4 Zn 2.99, 2 Ta 3.14

Results
For the total energy, the calculation gives -6.372 eV per atom. For the volume, the calculation gives 78.75 Å³ per cell. Its formation energy is 29 kJ/mol of formula units.



Entry 6:
Entry from the Alexandria database: crystalline ZrScTa2 at its relaxed geometry (GGA-PBE).

a b c (Å): 2.9219 2.9219 9.7335
angles (deg): 90.00 90.00 90.00
With the nearest neighbours (Å) after each atom.
Sites, in units of the cell vectors:
Sc: 0.5000 0.5000 0.7736  4 Sc 2.92, 4 Ta 3.07
Ta: 0.0000 0.0000 0.0064  8 Ta 2.92-3.09, 4 Sc 3.07
Ta: 0.5000 0.5000 0.2418  8 Ta 2.92-3.09, 4 Zr 3.09
Zr: 0.0000 0.0000 0.4782  4 Zr 2.92, 4 Ta 3.09

Results
For the total energy, the calculation gives -9.471 eV per atom. The value obtained for the energy above the most stable polymorph in this dataset is 5.5 kJ/mol of atoms. For the volume, the calculation gives 83.10 Å³ per cell. Its formation energy is 68 kJ/mol of formula units.



Entry 7:
Entry from the Alexandria database: crystalline ZrScTa2 at its relaxed geometry (GGA-PBE).

a b c (Å): 3.4359 4.7563 4.9258
angles (deg): 90.00 90.00 90.00
With the nearest neighbours (Å) after each atom.
Sites, in units of the cell vectors:
Ta: 0.5000 0.5000 0.0000  4 Ta 2.93, 4 Sc 3.00
Ta: 0.0000 0.0000 0.0000  4 Ta 2.93, 4 Zr 3.00
Sc: 0.0000 0.5000 0.5000  4 Zr 2.93, 4 Ta 3.00
Zr: 0.5000 0.0000 0.5000  4 Sc 2.93, 4 Ta 3.00

Results
For the total energy, the calculation gives -9.434 eV per atom. The value obtained for the energy above the most stable polymorph in this dataset is 9.1 kJ/mol of atoms. For the volume, the calculation gives 80.50 Å³ per cell. Its formation energy is 82 kJ/mol of formula units.



Entry 8:
Entry from the Alexandria database: crystalline ZrScTa2 at its relaxed geometry (GGA-PBE).

a b c (Å): 2.8905 4.7112 6.0093
angles (deg): 90.00 90.00 90.00
With the nearest neighbours (Å) after each atom.
Sites, in units of the cell vectors:
Sc: 0.5000 0.5000 0.7569  2 Sc 2.89, 6 Ta 2.89-3.16, 4 Zr 3.19
Ta: 0.5000 0.5000 0.2384  6 Ta 2.89-3.08, 2 Sc 2.89-3.12, 4 Zr 3.16
Ta: 0.0000 0.0000 0.0116  6 Ta 2.89-3.08, 2 Zr 2.89-3.12, 4 Sc 3.16
Zr: 0.0000 0.0000 0.4931  2 Zr 2.89, 6 Ta 2.89-3.16, 4 Sc 3.19

Results
For the total energy, the calculation gives -9.425 eV per atom. The value obtained for the energy above the most stable polymorph in this dataset is 9.9 kJ/mol of atoms. For the volume, the calculation gives 81.83 Å³ per cell. Its formation energy is 85 kJ/mol of formula units.



Entry 9:
Entry from the Alexandria database: crystalline ZrScTa2 at its relaxed geometry (GGA-PBE).

a b c (Å): 5.1654 5.1654 5.6930
angles (deg): 85.61 85.61 32.84
With the nearest neighbours (Å) after each atom.
Sites, in units of the cell vectors:
Sc: 0.2564 0.2564 0.2378  1 Zr 2.91, 2 Sc 2.92, 5 Ta 2.97-3.10
Ta: 0.7471 0.7471 0.7632  5 Ta 2.92-3.01, 3 Zr 3.01-3.09, 2 Sc 3.08
Ta: 0.0045 0.0045 0.9879  5 Ta 2.92-3.01, 3 Sc 2.97-3.10, 2 Zr 3.09
Zr: 0.4919 0.4919 0.5112  1 Sc 2.91, 2 Zr 2.92, 5 Ta 3.01-3.09

Results
For the total energy, the calculation gives -9.440 eV per atom. The value obtained for the energy above the most stable polymorph in this dataset is 8.5 kJ/mol of atoms. For the volume, the calculation gives 82.10 Å³ per cell. Its formation energy is 80 kJ/mol of formula units.



Entry 10:
Entry from the Alexandria database: crystalline Zr2ScTa2 at its relaxed geometry (GGA-PBE).

a b c (Å): 7.7470 7.7470 3.6631
angles (deg): 90.00 90.00 90.00
With the nearest neighbours (Å) after each atom.
Sites, in units of the cell vectors:
Ta: 0.3741 0.8741 0.0000  1 Ta 2.76, 6 Zr 2.91-2.94, 2 Sc 3.06
Ta: 0.1259 0.3741 0.0000  1 Ta 2.76, 6 Zr 2.91-2.94, 2 Sc 3.06
Ta: 0.8741 0.6259 0.0000  1 Ta 2.76, 6 Zr 2.91-2.94, 2 Sc 3.06
Ta: 0.6259 0.1259 0.0000  1 Ta 2.76, 6 Zr 2.91-2.94, 2 Sc 3.06
Zr: 0.3321 0.1679 0.5000  6 Ta 2.91-2.94
Zr: 0.6679 0.8321 0.5000  6 Ta 2.91-2.94
Zr: 0.1679 0.6679 0.5000  6 Ta 2.91-2.94
Zr: 0.8321 0.3321 0.5000  6 Ta 2.91-2.94
Sc: 0.5000 0.5000 0.0000  4 Ta 3.06, 8 Zr 3.42
Sc: 0.0000 0.0000 0.0000  4 Ta 3.06, 8 Zr 3.42

Results
For the total energy, the calculation gives -9.218 eV per atom. For the volume, the calculation gives 219.84 Å³ per cell. Its formation energy is 101 kJ/mol of formula units.